No. 1
## MgFe2Br (PBEsol)

Data for a geometry-optimized MgFe2Br structure.

Calculated values
DFT total energy, eV per atom: -4.95
Volume, Å³ per cell: 67.04

Unit cell a=3.103 b=4.579 c=4.754 alpha=90.00 beta=97.03 gamma=90.00
Positions (direct):
1 Br 0.000 0.500 0.000
2 Fe 0.832 0.000 0.694
3 Fe 0.168 0.000 0.306
4 Mg 0.500 0.500 0.500

No. 2
## TlCrTe3 (PBEsol)

Data for a geometry-optimized TlCrTe3 structure.

Calculated values
DFT total energy, eV per atom: -4.54
Volume, Å³ per cell: 143.71

Unit cell a=5.238 b=5.238 c=5.238 alpha=90.00 beta=90.00 gamma=90.00
Positions (direct):
1 Cr 0.000 0.000 0.000
2 Tl 0.500 0.500 0.500
3 Te 0.000 0.500 0.000
4 Te 0.000 0.000 0.500
5 Te 0.500 0.000 0.000

No. 3
## InPt2Rh (PBEsol)

Data for a geometry-optimized InPt2Rh structure.

Calculated values
Volume, Å³ per cell: 62.39
Energy of formation, meV per atom: -207

Unit cell a=2.928 b=4.721 c=4.834 alpha=101.02 beta=107.63 gamma=90.00
Positions (direct):
1 In 0.500 0.000 0.000
2 Pt 0.251 0.259 0.502
3 Pt 0.749 0.741 0.498
4 Rh 0.000 0.500 0.000

No. 4
## CoSe2 (PBEsol)

Data for a geometry-optimized CoSe2 structure.

Calculated values
DFT total energy, eV per atom: -5.52
Volume, Å³ per cell: 98.62

Unit cell a=3.586 b=4.808 c=5.720 alpha=90.00 beta=90.00 gamma=90.00
Positions (direct):
1 Co 0.000 0.000 0.000
2 Co 0.500 0.500 0.500
3 Se 0.000 0.220 0.632
4 Se 0.000 0.780 0.368
5 Se 0.500 0.280 0.132
6 Se 0.500 0.720 0.868

No. 5
## RuWIO2 (PBEsol)

Data for a geometry-optimized RuWIO2 structure.

Calculated values
DFT total energy, eV per atom: -6.54
Volume, Å³ per cell: 88.35

Unit cell a=3.774 b=3.774 c=6.202 alpha=90.00 beta=90.00 gamma=90.00
Positions (direct):
1 I 0.000 0.000 0.500
2 Ru 0.000 0.000 0.000
3 O 0.000 0.500 0.000
4 O 0.500 0.000 0.000
5 W 0.500 0.500 0.500

No. 6
## Al2Cr (PBEsol)

Data for a geometry-optimized Al2Cr structure.

Calculated values
Volume, Å³ per cell: 48.86
Energy of formation, meV per atom: 13

Unit cell a=2.612 b=4.325 c=4.325 alpha=90.00 beta=90.00 gamma=90.00
Positions (direct):
1 Cr 0.000 0.000 0.000
2 Al 0.500 0.000 0.500
3 Al 0.500 0.500 0.000

No. 7
## TiBSN2 (PBEsol)

Data for a geometry-optimized TiBSN2 structure.

Calculated values
DFT total energy, eV per atom: -6.93
Volume, Å³ per cell: 54.26

Unit cell a=3.223 b=3.223 c=5.223 alpha=90.00 beta=90.00 gamma=90.00
Positions (direct):
1 S 0.000 0.000 0.500
2 N 0.000 0.500 0.000
3 N 0.500 0.000 0.000
4 B 0.000 0.000 0.000
5 Ti 0.500 0.500 0.500

No. 8
## Zn3Ag (PBEsol)

Data for a geometry-optimized Zn3Ag structure.

Calculated values
Volume, Å³ per cell: 58.64
Energy of formation, meV per atom: -38

Unit cell a=2.821 b=2.821 c=8.511 alpha=90.00 beta=90.00 gamma=120.00
Positions (direct):
1 Zn 0.000 0.000 0.500
2 Zn 0.667 0.333 0.744
3 Zn 0.667 0.333 0.256
4 Ag 0.000 0.000 0.000

No. 9
## AlCo2H2 (PBEsol)

Data for a geometry-optimized AlCo2H2 structure.

Calculated values
DFT total energy, eV per atom: -5.45
Volume, Å³ per cell: 37.79

Unit cell a=2.799 b=2.799 c=5.214 alpha=105.57 beta=105.57 gamma=90.00
Positions (direct):
1 H 0.250 0.750 0.500
2 H 0.750 0.250 0.500
3 Co 0.351 0.351 0.702
4 Co 0.649 0.649 0.298
5 Al 0.000 0.000 0.000

No. 10
## Th2AuF11 (PBEsol)

Data for a geometry-optimized Th2AuF11 structure.

Calculated values
DFT total energy, eV per atom: -6.22
Volume, Å³ per cell: 401.67

Unit cell a=6.278 b=8.593 c=8.593 alpha=82.33 beta=68.57 gamma=68.57
Positions (direct):
1 Th 0.144 0.500 0.212
2 Th 0.644 0.212 0.500
3 Th 0.356 0.788 0.500
4 Th 0.856 0.500 0.788
5 Au 0.000 0.000 0.000
6 Au 0.500 0.000 0.000
7 F 0.866 0.029 0.239
8 F 0.134 0.971 0.761
9 F 0.895 0.239 0.971
10 F 0.105 0.761 0.029
11 F 0.366 0.239 0.029
12 F 0.605 0.029 0.761
13 F 0.000 0.500 0.500
14 F 0.500 0.500 0.500
15 F 0.000 0.500 0.000
16 F 0.500 0.000 0.500
17 F 0.000 0.000 0.500
18 F 0.500 0.500 0.000
19 F 0.750 0.308 0.692
20 F 0.058 0.692 0.692
21 F 0.442 0.308 0.308
22 F 0.750 0.692 0.308
23 F 0.250 0.692 0.308
24 F 0.942 0.308 0.308
25 F 0.558 0.692 0.692
26 F 0.250 0.308 0.692
27 F 0.634 0.761 0.971
28 F 0.395 0.971 0.239

No. 11
## K4CaW (PBEsol)

Data for a geometry-optimized K4CaW structure.

Calculated values
Volume, Å³ per cell: 260.30
Energy of formation, meV per atom: 1314

Unit cell a=7.167 b=7.167 c=7.167 alpha=60.00 beta=60.00 gamma=60.00
Positions (direct):
1 Ca 0.000 0.000 0.000
2 K 0.869 0.377 0.377
3 K 0.377 0.377 0.377
4 K 0.377 0.377 0.869
5 K 0.377 0.869 0.377
6 W 0.750 0.750 0.750

No. 12
## La2AlTl (PBEsol)

Data for a geometry-optimized La2AlTl structure.

Calculated values
Volume, Å³ per cell: 111.01
Energy of formation, meV per atom: -390

Unit cell a=3.562 b=4.361 c=7.147 alpha=90.00 beta=90.00 gamma=90.00
Positions (direct):
1 Tl 0.500 0.500 0.000
2 Al 0.500 0.500 0.500
3 La 0.000 0.000 0.735
4 La 0.000 0.000 0.265

No. 13
## Ta2Te5Pd3 (PBEsol)

Data for a geometry-optimized Ta2Te5Pd3 structure.

Calculated values
DFT total energy, eV per atom: -6.48
Volume, Å³ per cell: 953.65

Unit cell a=3.662 b=14.069 c=18.513 alpha=90.00 beta=90.00 gamma=90.00
Positions (direct):
1 Ta 0.750 0.249 0.084
2 Ta 0.250 0.751 0.916
3 Ta 0.750 0.749 0.416
4 Ta 0.250 0.251 0.584
5 Ta 0.750 0.245 0.832
6 Ta 0.250 0.755 0.168
7 Ta 0.750 0.745 0.668
8 Ta 0.250 0.255 0.332
9 Te 0.750 0.395 0.281
10 Te 0.250 0.605 0.719
11 Te 0.750 0.895 0.219
12 Te 0.250 0.111 0.138
13 Te 0.250 0.105 0.781
14 Te 0.750 0.389 0.638
15 Te 0.250 0.611 0.362
16 Te 0.750 0.889 0.862
17 Te 0.750 0.104 0.354
18 Te 0.250 0.896 0.646
19 Te 0.750 0.604 0.146
20 Te 0.250 0.396 0.854
21 Te 0.250 0.365 0.459
22 Te 0.750 0.635 0.541
23 Te 0.250 0.865 0.041
24 Te 0.750 0.135 0.959
25 Te 0.750 0.100 0.560
26 Te 0.250 0.900 0.440
27 Te 0.750 0.600 0.940
28 Te 0.250 0.400 0.060
29 Pd 0.750 0.180 0.689
30 Pd 0.750 0.191 0.227
31 Pd 0.250 0.809 0.773
32 Pd 0.750 0.691 0.273
33 Pd 0.250 0.309 0.727
34 Pd 0.250 0.820 0.311
35 Pd 0.750 0.680 0.811
36 Pd 0.250 0.320 0.189
37 Pd 0.750 0.230 0.458
38 Pd 0.250 0.770 0.542
39 Pd 0.750 0.730 0.042
40 Pd 0.250 0.270 0.958

No. 14
## LaIn2Au2 (PBEsol)

Data for a geometry-optimized LaIn2Au2 structure.

Calculated values
Volume, Å³ per cell: 116.20
Energy of formation, meV per atom: -612

Unit cell a=4.332 b=4.332 c=6.908 alpha=108.27 beta=108.27 gamma=90.00
Positions (direct):
1 In 0.250 0.750 0.500
2 In 0.750 0.250 0.500
3 Au 0.393 0.393 0.785
4 Au 0.607 0.607 0.215
5 La 0.000 0.000 0.000

No. 15
## KMnSn3O8 (PBEsol)

Data for a geometry-optimized KMnSn3O8 structure.

Calculated values
DFT total energy, eV per atom: -6.73
Volume, Å³ per cell: 172.04

Unit cell a=3.208 b=7.449 c=7.470 alpha=88.86 beta=79.54 gamma=78.56
Positions (direct):
1 K 0.480 0.974 0.996
2 Mn 0.846 0.519 0.816
3 Sn 0.166 0.483 0.169
4 Sn 0.351 0.810 0.498
5 Sn 0.666 0.194 0.519
6 O 0.835 0.711 0.640
7 O 0.190 0.282 0.361
8 O 0.543 0.613 0.301
9 O 0.488 0.400 0.701
10 O 0.786 0.356 0.030
11 O 0.127 0.656 0.955
12 O 0.174 0.057 0.652
13 O 0.847 0.946 0.363

No. 16
## Cr2CuTc (PBEsol)

Data for a geometry-optimized Cr2CuTc structure.

Calculated values
Volume, Å³ per cell: 48.39
Energy of formation, meV per atom: 309

Unit cell a=2.586 b=3.677 c=5.090 alpha=90.00 beta=90.00 gamma=90.00
Positions (direct):
1 Cr 0.000 0.000 0.750
2 Cr 0.000 0.000 0.250
3 Cu 0.500 0.500 0.000
4 Tc 0.500 0.500 0.500

No. 17
## TiI3 (PBEsol)

Data for a geometry-optimized TiI3 structure.

Calculated values
DFT total energy, eV per atom: -4.19
Volume, Å³ per cell: 273.17

Unit cell a=6.256 b=7.100 c=7.100 alpha=120.00 beta=90.00 gamma=90.00
Positions (direct):
1 I 0.250 0.000 0.680
2 I 0.750 0.680 0.680
3 I 0.750 0.320 0.000
4 I 0.250 0.680 0.000
5 I 0.250 0.320 0.320
6 I 0.750 0.000 0.320
7 Ti 0.500 0.000 0.000
8 Ti 0.000 0.000 0.000

No. 18
## Ca2ScPb (PBEsol)

Data for a geometry-optimized Ca2ScPb structure.

Calculated values
Volume, Å³ per cell: 117.46
Energy of formation, meV per atom: -180

Unit cell a=3.676 b=4.368 c=7.315 alpha=90.00 beta=90.00 gamma=90.00
Positions (direct):
1 Pb 0.000 0.000 0.526
2 Sc 0.500 0.500 0.720
3 Ca 0.000 0.000 0.974
4 Ca 0.500 0.500 0.280

No. 19
## Sc2CdTe (PBEsol)

Data for a geometry-optimized Sc2CdTe structure.

Calculated values
DFT total energy, eV per atom: -5.09
Volume, Å³ per cell: 87.19

Unit cell a=3.665 b=3.665 c=6.492 alpha=90.00 beta=90.04 gamma=90.00
Positions (direct):
1 Cd 0.500 0.500 0.500
2 Sc 0.000 0.000 0.754
3 Sc 0.000 0.000 0.246
4 Te 0.500 0.500 0.000

No. 20
## Cs6Ge2O7 (PBEsol)

Data for a geometry-optimized Cs6Ge2O7 structure.

Calculated values
DFT total energy, eV per atom: -5.18
Volume, Å³ per cell: 681.00

Unit cell a=7.140 b=9.745 c=9.790 alpha=90.00 beta=91.24 gamma=90.00
Positions (direct):
1 Cs 0.114 0.218 0.723
2 Cs 0.118 0.354 0.087
3 Cs 0.248 0.474 0.456
4 Cs 0.252 0.974 0.044
5 Cs 0.386 0.718 0.777
6 Cs 0.382 0.854 0.413
7 Cs 0.618 0.146 0.587
8 Cs 0.614 0.282 0.223
9 Cs 0.748 0.026 0.956
10 Cs 0.752 0.526 0.544
11 Cs 0.882 0.646 0.913
12 Cs 0.886 0.782 0.277
13 Ge 0.047 0.135 0.374
14 Ge 0.453 0.635 0.126
15 Ge 0.547 0.365 0.874
16 Ge 0.953 0.865 0.626
17 O 0.000 0.000 0.500
18 O 0.049 0.920 0.784
19 O 0.070 0.718 0.565
20 O 0.208 0.658 0.129
21 O 0.292 0.158 0.371
22 O 0.430 0.218 0.935
23 O 0.451 0.420 0.716
24 O 0.500 0.500 0.000
25 O 0.549 0.580 0.284
26 O 0.570 0.782 0.065
27 O 0.708 0.842 0.629
28 O 0.792 0.342 0.871
29 O 0.930 0.282 0.435
30 O 0.951 0.080 0.216

No. 21
## Na2MnS2O8 (PBEsol)

Data for a geometry-optimized Na2MnS2O8 structure.

Calculated values
DFT total energy, eV per atom: -6.52
Volume, Å³ per cell: 318.45

Unit cell a=6.473 b=6.473 c=8.752 alpha=69.06 beta=69.06 gamma=77.98
Positions (direct):
1 Na 0.590 0.685 0.558
2 Na 0.315 0.410 0.942
3 Na 0.685 0.590 0.058
4 Na 0.410 0.315 0.442
5 Mn 0.085 0.915 0.250
6 Mn 0.915 0.085 0.750
7 S 0.400 0.978 0.815
8 S 0.978 0.400 0.315
9 S 0.022 0.600 0.685
10 S 0.600 0.022 0.185
11 O 0.968 0.725 0.811
12 O 0.725 0.968 0.311
13 O 0.275 0.032 0.689
14 O 0.032 0.275 0.189
15 O 0.964 0.746 0.529
16 O 0.746 0.964 0.029
17 O 0.254 0.036 0.971
18 O 0.036 0.254 0.471
19 O 0.479 0.739 0.856
20 O 0.739 0.479 0.356
21 O 0.261 0.521 0.644
22 O 0.521 0.261 0.144
23 O 0.883 0.409 0.770
24 O 0.409 0.883 0.270
25 O 0.591 0.117 0.730
26 O 0.117 0.591 0.230

No. 22
## K3HfGa (PBEsol)

Data for a geometry-optimized K3HfGa structure.

Calculated values
Volume, Å³ per cell: 239.61
Energy of formation, meV per atom: 1278

Unit cell a=6.211 b=6.211 c=6.211 alpha=90.00 beta=90.00 gamma=90.00
Positions (direct):
1 K 0.000 0.500 0.000
2 K 0.000 0.000 0.500
3 K 0.500 0.000 0.000
4 Hf 0.500 0.500 0.500
5 Ga 0.000 0.000 0.000

No. 23
## YMgTl2W (PBEsol)

Data for a geometry-optimized YMgTl2W structure.

Calculated values
Volume, Å³ per cell: 150.35
Energy of formation, meV per atom: 725

Unit cell a=5.209 b=5.372 c=5.372 alpha=90.00 beta=90.00 gamma=90.00
Positions (direct):
1 Y 0.500 0.000 0.000
2 Tl 0.000 0.000 0.500
3 Tl 0.000 0.500 0.000
4 Mg 0.500 0.500 0.500
5 W 0.000 0.000 0.000

DOS at the Fermi energy, record by record: 2.6, 7.0, 4.7, 5.1, 4.3, 1.9, 3.2, 1.0, 2.9, 0.0, 3.8, 3.2, 8.6, 2.6, 0.8, 5.0, 5.8, 4.5, 4.5, 0.0, 0.0, 11.2, 3.3 states/eV/cell